1.
Below is a relaxed HfZn crystal, with properties calculated at the PBE level.

## Properties
M_tot in μB/cell: 0.00
Raw total energy in eV/cell: -11.619
D(E_F) in states/eV per cell: 0.314
Crystal system: cubic

Cell: 3.3017 3.3017 3.3017 Å, 90.00 90.00 90.00°
Closest atoms and distances in Å follow each position.
Fractional positions:
Hf: 0.0000 0.0000 0.0000  8 Zn 2.86
Zn: 0.5000 0.5000 0.5000  8 Hf 2.86

=====

2.
Below is a relaxed PmGeH2Rh2 crystal, with properties calculated at the PBE level.

## Properties
M_tot in μB/cell: 0.00
Raw total energy in eV/cell: -67.744
D(E_F) in states/eV per cell: 3.477
Crystal system: monoclinic

Cell: 4.6394 5.7724 6.3035 Å, 90.00 92.44 90.00°
Closest atoms and distances in Å follow each position.
Fractional positions:
Pm: 0.2266 0.2500 0.1378  3 H 2.32-2.35
Pm: 0.7734 0.7500 0.8622  3 H 2.32-2.35
Ge: 0.2004 0.7500 0.3616  1 H 2.02
Ge: 0.7996 0.2500 0.6384  1 H 2.02
H: 0.2700 0.7500 0.8275  2 Rh 1.81
H: 0.4397 0.2500 0.8068  2 Rh 1.79
H: 0.5603 0.7500 0.1932  2 Rh 1.79
H: 0.7300 0.2500 0.1725  2 Rh 1.81
Rh: 0.2658 0.0136 0.6705  2 H 1.79-1.81
Rh: 0.2658 0.4864 0.6705  2 H 1.79-1.81
Rh: 0.7342 0.5136 0.3295  2 H 1.79-1.81
Rh: 0.7342 0.9864 0.3295  2 H 1.79-1.81

=====

3.
Below is a relaxed Ga3AgHg crystal, with properties calculated at the PBE level.

## Properties
M_tot in μB/cell: 0.00
D(E_F) in states/eV per cell: 3.379
Crystal system: cubic
Energy above the most stable polymorph in this dataset in eV/atom: 0.000

Cell: 5.0557 5.0557 5.0557 Å, 90.00 90.00 90.00°
Closest atoms and distances in Å follow each position.
Fractional positions:
Ga: 0.0000 0.0000 0.5000  2 Ag 2.53
Ga: 0.0000 0.5000 0.0000  2 Ag 2.53
Ga: 0.5000 0.0000 0.0000  2 Ag 2.53
Ag: 0.0000 0.0000 0.0000  6 Ga 2.53
Hg: 0.5000 0.5000 0.5000  12 Ga 3.57